Computed, not measured: a relaxed Hf4TaSn crystal at the PBE level of DFT.

Cell and atoms, written as POSCAR:
```
Hf4TaSn
1.0
4.680 0.000 0.000
0.000 4.680 0.000
0.000 0.000 6.880
Hf Ta Sn
4 1 1
Direct
0.000 0.500 0.228 Hf
0.000 0.500 0.772 Hf
0.500 0.000 0.228 Hf
0.500 0.000 0.772 Hf
0.000 0.000 0.000 Ta
0.500 0.500 0.500 Sn
```

Summary:
Formation energy from the elements ... 347 meV per atom
Crystal system ... tetragonal
D(E_F) ... 6.6 states/eV per cell
Symmetry ... P4/mmm, No. 123
Total energy ... -53.588 eV for the cell shown